A plane-wave DFT calculation with PBE was carried out for crystalline KInOs2 at its relaxed geometry.

a b c (Å): 2.7976 4.6593 7.0481
angles (deg): 90.00 90.00 90.00
Space group Pmmm (No. 47)
Symmetry-distinct sites (fractional):
K  0.0000  0.0000  0.0000 x1
In  0.0000  0.0000  0.5000 x1
Os  0.5000  0.5000  0.3369 x2

- energy of formation from the pure elements (eV per atom) = 1.03
- N(E_F) (states/eV per atom) = 1.093
- total energy (eV/cell) = -22.19

A plane-wave DFT calculation with PBE was carried out for crystalline Sr2NiW at its relaxed geometry.

a b c (Å): 3.3201 3.3212 9.4426
angles (deg): 90.00 90.52 90.00
Space group Pm (No. 6)
Symmetry-distinct sites (fractional):
Sr  0.0000  0.0000  0.0000 x1
Sr  0.4834  0.5000  0.3984 x1
Ni  0.9898  0.0000  0.6399 x1
W  0.4928  0.5000  0.7431 x1

- energy of formation from the pure elements (eV per atom) = 0.60
- E above lowest polymorph (eV per formula unit) = 0.00
- N(E_F) (states/eV per atom) = 1.298
- total energy (eV/cell) = -19.70

A plane-wave DFT calculation with PBE was carried out for crystalline NaAcAuO at its relaxed geometry.

a b c (Å): 4.3108 4.3108 10.4426
angles (deg): 90.00 90.00 90.00
Space group P4/nmm (No. 129, origin choice 2)
Symmetry-distinct sites (fractional):
Na  0.2500  0.7500  0.0000 x2
Ac  0.2500  0.2500  0.3806 x2
Au  0.2500  0.2500  0.7953 x2
O  0.2500  0.7500  0.5000 x2

- raw formation energy (eV/atom) = -1.636
- N(E_F) (states/eV per atom) = 0.649
- total energy (eV/cell) = -40.41

| no. | size of the total moment (μB per cell) |
| --- | --- |
| 1 | 0.51 |
| 2 | 0.00 |
| 3 | 0.00 |